Record 1
# AcGd2Sc | the Alexandria database | PBE | relaxed
# Crystal system: cubic
# Density: 7.304 g/cm3
# Magnetic moment: 16.4 μB/cell
# Energy relative to the lowest polymorph listed for this composition: 85 meV per atom
# Volume: 133 Å³/f.u.
data_AcGd2Sc
_chemical_formula_sum 'Ac1 Gd2 Sc1'
_symmetry_space_group_name_H-M 'P 1'
_symmetry_Int_Tables_number 1
_cell_length_a 5.734
_cell_length_b 5.734
_cell_length_c 5.734
_cell_angle_alpha 60.00
_cell_angle_beta 60.00
_cell_angle_gamma 60.00
loop_
_symmetry_equiv_pos_as_xyz
'x,y,z'
loop_
_atom_site_label
_atom_site_fract_x
_atom_site_fract_y
_atom_site_fract_z
_atom_site_occupancy
Gd1 0.750 0.750 0.750 1
Ac1 0.000 0.000 0.000 1
Sc1 0.500 0.500 0.500 1
Gd2 0.250 0.250 0.250 1

Record 2
# AlTcOs2 | the Alexandria database | PBE | relaxed
# Crystal system: tetragonal
# Density: 14.540 g/cm3
# Magnetic moment: 0.0 μB/cell
# Volume: 58 Å³/f.u.
# E: -36.019 eV per cell
data_AlTcOs2
_chemical_formula_sum 'Al1 Tc1 Os2'
_symmetry_space_group_name_H-M 'P 1'
_symmetry_Int_Tables_number 1
_cell_length_a 3.837
_cell_length_b 3.879
_cell_length_c 3.879
_cell_angle_alpha 90.00
_cell_angle_beta 90.00
_cell_angle_gamma 90.00
loop_
_symmetry_equiv_pos_as_xyz
'x,y,z'
loop_
_atom_site_label
_atom_site_fract_x
_atom_site_fract_y
_atom_site_fract_z
_atom_site_occupancy
Os1 0.000 0.500 0.500 1
Tc1 0.500 0.500 0.000 1
Os2 0.000 0.000 0.000 1
Al1 0.500 0.000 0.500 1

Record 3
# Li2TaTe | the Alexandria database | PBE | relaxed
# Formation energy from raw total energies: 212 meV per atom
# Crystal system: monoclinic
# Density: 6.901 g/cm3
# Magnetic moment: 0.0 μB/cell
# Volume: 78 Å³/f.u.
data_Li2TaTe
_chemical_formula_sum 'Li2 Ta1 Te1'
_symmetry_space_group_name_H-M 'P 1'
_symmetry_Int_Tables_number 1
_cell_length_a 5.676
_cell_length_b 5.633
_cell_length_c 2.928
_cell_angle_alpha 84.05
_cell_angle_beta 71.93
_cell_angle_gamma 115.04
loop_
_symmetry_equiv_pos_as_xyz
'x,y,z'
loop_
_atom_site_label
_atom_site_fract_x
_atom_site_fract_y
_atom_site_fract_z
_atom_site_occupancy
Li1 0.500 0.000 0.500 1
Li2 0.000 0.000 0.000 1
Ta1 0.000 0.500 0.500 1
Te1 0.500 0.500 0.000 1

Record 4
# BaSn2HgSe4 | the Alexandria database | PBE | relaxed
# Formation energy from raw total energies: -719 meV per atom
# Crystal system: orthorhombic
# Density: 6.110 g/cm3
# Magnetic moment: 0.0 μB/cell
# Volume: 242 Å³/f.u.
data_BaSn2HgSe4
_chemical_formula_sum 'Ba2 Sn4 Hg2 Se8'
_symmetry_space_group_name_H-M 'P 1'
_symmetry_Int_Tables_number 1
_cell_length_a 4.389
_cell_length_b 7.623
_cell_length_c 15.116
_cell_angle_alpha 90.00
_cell_angle_beta 90.00
_cell_angle_gamma 106.73
loop_
_symmetry_equiv_pos_as_xyz
'x,y,z'
loop_
_atom_site_label
_atom_site_fract_x
_atom_site_fract_y
_atom_site_fract_z
_atom_site_occupancy
Ba1 0.875 0.749 0.250 1
Se1 0.729 0.457 0.614 1
Se2 0.271 0.543 0.386 1
Hg1 0.850 0.701 0.750 1
Sn1 0.627 0.254 0.049 1
Se3 0.456 0.913 0.750 1
Sn2 0.373 0.746 0.951 1
Se4 0.271 0.543 0.114 1
Hg2 0.150 0.299 0.250 1
Se5 0.729 0.457 0.886 1
Se6 0.544 0.087 0.250 1
Se7 0.000 0.000 0.500 1
Se8 0.000 0.000 0.000 1
Ba2 0.125 0.251 0.750 1
Sn3 0.627 0.254 0.451 1
Sn4 0.373 0.746 0.549 1

Record 5
# K2TlTc | the Alexandria database | PBE | relaxed
# Crystal system: tetragonal
# Density: 5.821 g/cm3
# Magnetic moment: 0.0 μB/cell
# Energy relative to the lowest polymorph listed for this composition: 300 meV per atom
# Volume: 109 Å³/f.u.
data_K2TlTc
_chemical_formula_sum 'K2 Tl1 Tc1'
_symmetry_space_group_name_H-M 'P 1'
_symmetry_Int_Tables_number 1
_cell_length_a 3.013
_cell_length_b 3.013
_cell_length_c 11.962
_cell_angle_alpha 90.00
_cell_angle_beta 90.00
_cell_angle_gamma 90.02
loop_
_symmetry_equiv_pos_as_xyz
'x,y,z'
loop_
_atom_site_label
_atom_site_fract_x
_atom_site_fract_y
_atom_site_fract_z
_atom_site_occupancy
Tl1 0.500 0.500 0.750 1
K1 0.000 0.000 0.477 1
Tc1 0.500 0.500 0.250 1
K2 0.000 0.000 0.023 1

Record 6
# TbAl2Au6 | the Alexandria database | PBE | relaxed
# Crystal system: cubic
# Density: 11.431 g/cm3
# Magnetic moment: 0.0 μB/cell
# Energy relative to the lowest polymorph listed for this composition: 194 meV per atom
# Volume: 203 Å³/f.u.
data_TbAl2Au6
_chemical_formula_sum 'Tb2 Al4 Au12'
_symmetry_space_group_name_H-M 'P 1'
_symmetry_Int_Tables_number 1
_cell_length_a 8.306
_cell_length_b 8.306
_cell_length_c 8.306
_cell_angle_alpha 59.99
_cell_angle_beta 59.99
_cell_angle_gamma 59.99
loop_
_symmetry_equiv_pos_as_xyz
'x,y,z'
loop_
_atom_site_label
_atom_site_fract_x
_atom_site_fract_y
_atom_site_fract_z
_atom_site_occupancy
Tb1 0.500 0.500 0.500 1
Au1 0.000 0.500 0.000 1
Au2 0.250 0.250 0.750 1
Al1 0.125 0.125 0.625 1
Al2 0.125 0.625 0.125 1
Au3 0.500 0.000 0.000 1
Au4 0.500 0.000 0.500 1
Au5 0.750 0.250 0.250 1
Au6 0.000 0.500 0.500 1
Au7 0.500 0.500 0.000 1
Au8 0.250 0.750 0.250 1
Tb2 0.750 0.750 0.750 1
Au9 0.750 0.250 0.750 1
Au10 0.250 0.750 0.750 1
Al3 0.125 0.125 0.125 1
Au11 0.000 0.000 0.500 1
Al4 0.625 0.125 0.125 1
Au12 0.750 0.750 0.250 1

Record 7
# KNa3Zn4I12 | the Alexandria database | PBE | relaxed
# Formation energy from raw total energies: -817 meV per atom
# Crystal system: trigonal
# Density: 3.349 g/cm3
# Magnetic moment: 0.0 μB/cell
# Volume: 938 Å³/f.u.
data_KNa3Zn4I12
_chemical_formula_sum 'K1 Na3 Zn4 I12'
_symmetry_space_group_name_H-M 'P 1'
_symmetry_Int_Tables_number 1
_cell_length_a 10.186
_cell_length_b 10.186
_cell_length_c 10.186
_cell_angle_alpha 104.25
_cell_angle_beta 104.25
_cell_angle_gamma 104.25
loop_
_symmetry_equiv_pos_as_xyz
'x,y,z'
loop_
_atom_site_label
_atom_site_fract_x
_atom_site_fract_y
_atom_site_fract_z
_atom_site_occupancy
I1 0.102 0.898 0.500 1
Zn1 0.500 0.500 0.500 1
K1 0.000 0.000 0.000 1
Zn2 0.056 0.500 0.944 1
I2 0.898 0.500 0.102 1
I3 0.662 0.789 0.045 1
I4 0.789 0.045 0.662 1
I5 0.045 0.662 0.789 1
I6 0.338 0.955 0.211 1
Na1 0.546 0.454 0.000 1
I7 0.500 0.342 0.658 1
I8 0.658 0.500 0.342 1
I9 0.211 0.338 0.955 1
I10 0.955 0.211 0.338 1
Zn3 0.944 0.056 0.500 1
Zn4 0.500 0.944 0.056 1
I11 0.500 0.102 0.898 1
I12 0.342 0.658 0.500 1
Na2 0.454 0.000 0.546 1
Na3 0.000 0.546 0.454 1

Record 8
# La8CuRh3Cl4 | the Alexandria database | PBE | relaxed
# Formation energy from raw total energies: -1162 meV per atom
# Crystal system: trigonal
# Density: 5.821 g/cm3
# Magnetic moment: 0.0 μB/cell
# Volume: 464 Å³/f.u.
data_La8CuRh3Cl4
_chemical_formula_sum 'La8 Cu1 Rh3 Cl4'
_symmetry_space_group_name_H-M 'P 1'
_symmetry_Int_Tables_number 1
_cell_length_a 8.372
_cell_length_b 9.042
_cell_length_c 8.371
_cell_angle_alpha 117.60
_cell_angle_beta 120.00
_cell_angle_gamma 90.00
loop_
_symmetry_equiv_pos_as_xyz
'x,y,z'
loop_
_atom_site_label
_atom_site_fract_x
_atom_site_fract_y
_atom_site_fract_z
_atom_site_occupancy
La1 0.729 0.705 0.967 1
Cl1 0.000 0.000 0.000 1
Cu1 0.000 0.500 0.000 1
Cl2 0.000 0.000 0.500 1
La2 0.736 0.708 0.472 1
La3 0.239 0.705 0.967 1
La4 0.271 0.295 0.033 1
Rh1 0.500 0.500 0.500 1
Rh2 0.500 0.500 0.000 1
La5 0.264 0.292 0.528 1
Cl3 0.500 0.000 0.000 1
Rh3 0.000 0.500 0.500 1
La6 0.761 0.295 0.033 1
La7 0.239 0.705 0.477 1
La8 0.761 0.295 0.523 1
Cl4 0.500 0.000 0.500 1

What is the volume in the fifth record?
109 Å³/f.u.